[1]
Crystalline MgMn2Ga at its relaxed geometry. Source: the Alexandria database, functional PBE.

Cell: 3.201 3.201 5.826 Å, 90.00 90.00 90.00°
Element x y z (fractional)
Mg 0.000 0.000 0.000
Mn 0.500 0.500 0.269
Mn 0.500 0.500 0.731
Ga 0.000 0.000 0.500

Mass density = 5.67 g/cm3
Relative energy among the computed polymorphs = 0.053 eV per atom
DFT formation energy = 97 meV per atom
Magnetic moment = 5.9 μB per formula unit

=====

[2]
Crystalline NaBi at its relaxed geometry. Source: the Alexandria database, functional PBE.

Cell: 4.516 4.516 4.516 Å, 60.00 60.00 60.00°
Element x y z (fractional)
Na 0.000 0.000 0.000
Bi 0.500 0.500 0.500

Mass density = 5.92 g/cm3
Relative energy among the computed polymorphs = 0.488 eV per atom
DFT formation energy = 183 meV per atom
Magnetic moment = 0.0 μB per formula unit

=====

[3]
Crystalline SmY15Sc4 at its relaxed geometry. Source: the Alexandria database, functional PBE.

Cell: 4.972 4.972 24.812 Å, 90.00 90.00 90.00°
Element x y z (fractional)
Sm 0.000 0.000 0.000
Y 0.000 0.500 0.104
Y 0.000 0.500 0.302
Y 0.000 0.500 0.500
Y 0.000 0.500 0.698
Y 0.000 0.500 0.896
Y 0.500 0.000 0.104
Y 0.500 0.000 0.302
Y 0.500 0.000 0.500
Y 0.500 0.000 0.698
Y 0.500 0.000 0.896
Y 0.500 0.500 0.000
Y 0.500 0.500 0.204
Y 0.500 0.500 0.401
Y 0.500 0.500 0.599
Y 0.500 0.500 0.796
Sc 0.000 0.000 0.203
Sc 0.000 0.000 0.401
Sc 0.000 0.000 0.599
Sc 0.000 0.000 0.797

Mass density = 4.50 g/cm3
DFT formation energy = 45 meV per atom
Magnetic moment = 0.0 μB per formula unit

=====

[4]
Crystalline Tb5HgBi4 at its relaxed geometry. Source: the Alexandria database, functional PBE.

Cell: 7.739 7.739 7.739 Å, 99.57 99.57 131.86°
Element x y z (fractional)
Tb 0.000 0.000 0.000
Tb 0.198 0.397 0.594
Tb 0.397 0.804 0.199
Tb 0.604 0.198 0.801
Tb 0.804 0.604 0.406
Hg 0.500 0.500 0.000
Bi 0.100 0.701 0.799
Bi 0.301 0.100 0.399
Bi 0.701 0.902 0.601
Bi 0.902 0.301 0.201

Mass density = 9.65 g/cm3
DFT formation energy = -716 meV per atom
Magnetic moment = 0.0 μB per formula unit

=====

[5]
Crystalline Co2HgSe at its relaxed geometry. Source: the Alexandria database, functional PBE.

Cell: 4.410 4.410 3.120 Å, 90.00 90.00 90.00°
Element x y z (fractional)
Co 0.000 0.500 0.000
Co 0.500 0.000 0.000
Hg 0.000 0.000 0.500
Se 0.500 0.500 0.500

Mass density = 10.87 g/cm3
Relative energy among the computed polymorphs = 0.278 eV per atom
Magnetic moment = 2.2 μB per formula unit

=====

[6]
Crystalline LaPr4Y3Te8 at its relaxed geometry. Source: the Alexandria database, functional PBE.

Cell: 9.017 9.017 9.017 Å, 59.14 59.14 59.14°
Element x y z (fractional)
La 0.000 0.000 0.000
Pr 0.000 0.000 0.500
Pr 0.000 0.500 0.000
Pr 0.500 0.000 0.000
Pr 0.500 0.500 0.500
Y 0.000 0.500 0.500
Y 0.500 0.000 0.500
Y 0.500 0.500 0.000
Te 0.251 0.251 0.740
Te 0.251 0.740 0.251
Te 0.255 0.255 0.255
Te 0.260 0.749 0.749
Te 0.740 0.251 0.251
Te 0.745 0.745 0.745
Te 0.749 0.260 0.749
Te 0.749 0.749 0.260

Mass density = 6.50 g/cm3
Magnetic moment = 0.0 μB per formula unit
Final energy = -5.693 eV/atom

=====

[7]
Crystalline Cd2FePt at its relaxed geometry. Source: the Alexandria database, functional PBE.

Cell: 5.020 5.020 2.906 Å, 90.00 90.00 111.27°
Element x y z (fractional)
Cd 0.000 0.500 0.000
Cd 0.500 0.000 0.000
Fe 0.000 0.000 0.500
Pt 0.500 0.500 0.500

Mass density = 11.58 g/cm3
DFT formation energy = 80 meV per atom
Magnetic moment = 2.7 μB per formula unit

=====

[8]
Crystalline MnIrRhS at its relaxed geometry. Source: the Alexandria database, functional PBE.

Cell: 4.353 4.353 5.424 Å, 115.61 115.61 40.21°
Element x y z (fractional)
Mn 0.000 0.000 0.000
Ir 0.653 0.653 0.783
Rh 0.817 0.817 0.396
S 0.513 0.513 0.319

Mass density = 10.77 g/cm3
Relative energy among the computed polymorphs = 0.145 eV per atom
Magnetic moment = 2.8 μB per formula unit

=====

[9]
Crystalline BeCuSi at its relaxed geometry. Source: the Alexandria database, functional PBE.

Cell: 3.956 3.956 2.965 Å, 111.35 111.35 104.57°
Element x y z (fractional)
Be 0.000 0.000 0.000
Cu 0.305 0.695 0.500
Si 0.702 0.298 0.500

Mass density = 4.63 g/cm3
Relative energy among the computed polymorphs = 0.049 eV per atom
Magnetic moment = 0.0 μB per formula unit

=====

[10]
Crystalline SrCoW at its relaxed geometry. Source: the Alexandria database, functional PBE.

Cell: 5.653 5.653 5.653 Å, 117.24 87.25 126.18°
Element x y z (fractional)
Sr 0.124 0.250 0.374
Sr 0.876 0.750 0.626
Co 0.508 0.008 0.500
Co 0.508 0.508 0.000
W 0.151 0.605 0.046
W 0.559 0.105 0.954

Mass density = 8.90 g/cm3
Relative energy among the computed polymorphs = 0.261 eV per atom
DFT formation energy = 555 meV per atom
Magnetic moment = 0.0 μB per formula unit

=====

[11]
Crystalline TaTe2Os at its relaxed geometry. Source: the Alexandria database, functional PBE.

Cell: 5.461 5.461 4.205 Å, 109.38 109.38 117.79°
Element x y z (fractional)
Ta 0.000 0.000 0.000
Te 0.000 0.500 0.500
Te 0.500 0.000 0.500
Os 0.500 0.500 0.000

Mass density = 12.23 g/cm3
Relative energy among the computed polymorphs = 0.727 eV per atom
Magnetic moment = 0.0 μB per formula unit

=====

[12]
Crystalline Cd2Ge7O16 at its relaxed geometry. Source: the Alexandria database, functional PBE.

Cell: 11.455 11.455 4.711 Å, 90.00 90.00 90.00°
Element x y z (fractional)
Cd 0.163 0.337 0.000
Cd 0.337 0.837 0.000
Cd 0.663 0.163 0.000
Cd 0.837 0.663 0.000
Ge 0.000 0.500 0.500
Ge 0.069 0.815 0.490
Ge 0.136 0.636 0.000
Ge 0.185 0.069 0.510
Ge 0.315 0.569 0.510
Ge 0.364 0.136 0.000
Ge 0.431 0.315 0.490
Ge 0.500 0.000 0.500
Ge 0.569 0.685 0.490
Ge 0.636 0.864 0.000
Ge 0.685 0.431 0.510
Ge 0.815 0.931 0.510
Ge 0.864 0.364 0.000
Ge 0.931 0.185 0.490
O 0.001 0.619 0.252
O 0.030 0.720 0.773
O 0.065 0.139 0.334
O 0.119 0.501 0.748
O 0.139 0.935 0.666
O 0.174 0.768 0.230
O 0.220 0.530 0.227
O 0.232 0.174 0.770
O 0.268 0.674 0.770
O 0.280 0.030 0.227
O 0.326 0.268 0.230
O 0.361 0.435 0.666
O 0.381 0.001 0.748
O 0.435 0.639 0.334
O 0.470 0.220 0.773
O 0.499 0.119 0.252
O 0.501 0.881 0.252
O 0.530 0.780 0.773
O 0.565 0.361 0.334
O 0.619 0.999 0.748
O 0.639 0.565 0.666
O 0.674 0.732 0.230
O 0.720 0.970 0.227
O 0.732 0.326 0.770
O 0.768 0.826 0.770
O 0.780 0.470 0.227
O 0.826 0.232 0.230
O 0.861 0.065 0.666
O 0.881 0.499 0.748
O 0.935 0.861 0.334
O 0.970 0.280 0.773
O 0.999 0.381 0.252

Mass density = 5.31 g/cm3
Magnetic moment = 0.0 μB per formula unit
Final energy = -6.090 eV/atom

=====

[13]
Crystalline Rb5CuBr8 at its relaxed geometry. Source: the Alexandria database, functional PBE.

Cell: 9.111 9.111 9.111 Å, 113.09 113.09 102.46°
Element x y z (fractional)
Rb 0.000 0.000 0.000
Rb 0.108 0.250 0.580
Rb 0.472 0.892 0.142
Rb 0.670 0.528 0.420
Rb 0.750 0.330 0.858
Cu 0.250 0.750 0.500
Br 0.023 0.604 0.805
Br 0.233 0.559 0.222
Br 0.337 0.011 0.778
Br 0.396 0.201 0.420
Br 0.441 0.663 0.674
Br 0.782 0.977 0.580
Br 0.799 0.218 0.195
Br 0.989 0.767 0.326

Mass density = 3.26 g/cm3
Magnetic moment = 0.0 μB per formula unit
Final energy = -2.836 eV/atom

=====

[14]
Crystalline Tc2AsAu at its relaxed geometry. Source: the Alexandria database, functional PBE.

Cell: 5.312 5.312 5.312 Å, 146.13 130.81 61.06°
Element x y z (fractional)
Tc 0.000 0.000 0.000
Tc 0.743 0.243 0.500
As 0.215 0.715 0.500
Au 0.462 0.462 0.000

Mass density = 12.41 g/cm3
DFT formation energy = 320 meV per atom
Magnetic moment = 0.0 μB per formula unit

=====

[15]
Crystalline KRb2W2 at its relaxed geometry. Source: the Alexandria database, functional PBE.

Cell: 10.990 10.990 3.155 Å, 90.00 90.00 90.00°
Element x y z (fractional)
K 0.000 0.000 0.000
K 0.500 0.500 0.000
Rb 0.208 0.292 0.500
Rb 0.292 0.792 0.500
Rb 0.708 0.208 0.500
Rb 0.792 0.708 0.500
W 0.071 0.571 0.000
W 0.429 0.071 0.000
W 0.571 0.929 0.000
W 0.929 0.429 0.000

Mass density = 5.04 g/cm3
Relative energy among the computed polymorphs = 0.000 eV per atom
DFT formation energy = 1591 meV per atom
Magnetic moment = 1.0 μB per formula unit

=====

[16]
Crystalline K2SmClO2 at its relaxed geometry. Source: the Alexandria database, functional PBE.

Cell: 4.586 4.586 6.367 Å, 90.00 90.00 90.00°
Element x y z (fractional)
K 0.000 0.000 0.247
K 0.000 0.000 0.753
Sm 0.500 0.500 0.000
Cl 0.500 0.500 0.500
O 0.000 0.500 0.000
O 0.500 0.000 0.000

Mass density = 3.67 g/cm3
Magnetic moment = 0.0 μB per formula unit
Final energy = -5.297 eV/atom

=====

[17]
Crystalline DyAl5 at its relaxed geometry. Source: the Alexandria database, functional PBE.

Cell: 6.548 6.548 4.236 Å, 90.00 90.00 142.26°
Element x y z (fractional)
Dy 0.000 0.000 0.000
Al 0.174 0.826 0.500
Al 0.323 0.677 0.000
Al 0.500 0.500 0.500
Al 0.677 0.323 0.000
Al 0.826 0.174 0.500

Mass density = 4.44 g/cm3
DFT formation energy = -235 meV per atom
Magnetic moment = 0.0 μB per formula unit

=====

[18]
Crystalline PrCo2PC at its relaxed geometry. Source: the Alexandria database, functional PBE.

Cell: 5.610 5.610 6.765 Å, 90.00 90.00 140.01°
Element x y z (fractional)
Pr 0.049 0.951 0.750
Pr 0.951 0.049 0.250
Co 0.334 0.666 0.555
Co 0.334 0.666 0.945
Co 0.666 0.334 0.055
Co 0.666 0.334 0.445
P 0.228 0.772 0.250
P 0.772 0.228 0.750
C 0.500 0.500 0.000
C 0.500 0.500 0.500

Mass density = 7.33 g/cm3
DFT formation energy = -528 meV per atom
Magnetic moment = 0.0 μB per formula unit

=====

[19]
Crystalline LaMg3Ta at its relaxed geometry. Source: the Alexandria database, functional PBE.

Cell: 5.305 5.305 5.305 Å, 90.00 90.00 90.00°
Element x y z (fractional)
La 0.000 0.000 0.000
Mg 0.000 0.500 0.500
Mg 0.500 0.000 0.500
Mg 0.500 0.500 0.000
Ta 0.500 0.500 0.500

Mass density = 4.37 g/cm3
Relative energy among the computed polymorphs = 0.000 eV per atom
DFT formation energy = 809 meV per atom
Magnetic moment = 2.2 μB per formula unit

=====

[20]
Crystalline Fe3Co2B at its relaxed geometry. Source: the Alexandria database, functional PBE.

Cell: 6.365 6.365 2.521 Å, 90.00 90.00 143.09°
Element x y z (fractional)
Fe 0.000 0.000 0.000
Fe 0.188 0.812 0.500
Fe 0.812 0.188 0.500
Co 0.369 0.631 0.000
Co 0.631 0.369 0.000
B 0.500 0.500 0.500

Mass density = 8.02 g/cm3
DFT formation energy = 21 meV per atom
Magnetic moment = 8.8 μB per formula unit

=====

[21]
Crystalline Sc2PaMn2 at its relaxed geometry. Source: the Alexandria database, functional PBE.

Cell: 5.484 5.484 5.484 Å, 137.38 122.89 73.81°
Element x y z (fractional)
Sc 0.201 0.201 0.000
Sc 0.799 0.799 0.000
Pa 0.500 0.000 0.500
Mn 0.235 0.500 0.735
Mn 0.765 0.500 0.265

Mass density = 7.81 g/cm3
DFT formation energy = -127 meV per atom
Magnetic moment = 0.0 μB per formula unit

=====

[22]
Crystalline La6Te5O at its relaxed geometry. Source: the Alexandria database, functional PBE.

Cell: 7.707 7.707 7.627 Å, 99.70 99.70 119.45°
Element x y z (fractional)
La 0.068 0.355 0.214
La 0.214 0.214 0.755
La 0.355 0.068 0.214
La 0.645 0.932 0.786
La 0.786 0.786 0.245
La 0.932 0.645 0.786
Te 0.186 0.814 0.500
Te 0.337 0.663 0.000
Te 0.500 0.500 0.500
Te 0.663 0.337 0.000
Te 0.814 0.186 0.500
O 0.000 0.000 0.000

Mass density = 6.64 g/cm3
Magnetic moment = 0.0 μB per formula unit
Final energy = -5.866 eV/atom